(1)
# PBE Y2In3Mo4N3, optimized geometry
# V	16.31	Å³ per atom
# total moment	0.070	Bohr magnetons per cell
# DFT total energy	-7.930	eV per atom
data_Y2In3Mo4N3
_space_group_name_H-M_alt 'C 1 2/c 1'
_space_group_IT_number 15
_cell_length_a 9.909
_cell_length_b 5.760
_cell_length_c 14.135
_cell_angle_alpha 90.00
_cell_angle_beta 103.92
_cell_angle_gamma 90.00
loop_
_space_group_symop_operation_xyz
'x,y,z'
'-x,-y,-z'
'-x,y,-z+1/2'
'x,-y,z+1/2'
'x+1/2,y+1/2,z'
'-x+1/2,-y+1/2,-z'
'-x+1/2,y+1/2,-z+1/2'
'x+1/2,-y+1/2,z+1/2'
loop_
_atom_site_label
_atom_site_type_symbol
_atom_site_fract_x
_atom_site_fract_y
_atom_site_fract_z
Y1 Y 0.046 0.083 0.391
In1 In 0.000 0.454 0.750
In2 In 0.230 0.146 0.749
Mo1 Mo 0.109 0.427 0.568
Mo2 Mo 0.221 0.412 0.932
N1 N 0.080 0.242 0.000
N2 N 0.250 0.250 0.500

=====

(2)
# PBE Hf3Cd2Ga2, optimized geometry
# V	21.40	Å³ per atom
# total moment	0.000	Bohr magnetons per cell
# DFT total energy	-5.367	eV per atom
data_Hf3Cd2Ga2
_space_group_name_H-M_alt 'R 3 m'
_space_group_IT_number 160
_space_group_name_Hall 'R 3 -2"'
_cell_length_a 4.7194
_cell_length_b 4.7194
_cell_length_c 23.2939
_cell_angle_alpha 90.00
_cell_angle_beta 90.00
_cell_angle_gamma 120.00
loop_
_atom_site_label
_atom_site_type_symbol
_atom_site_fract_x
_atom_site_fract_y
_atom_site_fract_z
Hf1 Hf 0.0000 0.0000 0.0000
Hf2 Hf 0.0000 0.0000 0.2506
Hf3 Hf 0.0000 0.0000 0.5021
Cd1 Cd 0.0000 0.0000 0.1202
Cd2 Cd 0.0000 0.0000 0.6380
Ga1 Ga 0.0000 0.0000 0.3800
Ga2 Ga 0.0000 0.0000 0.8730

=====

(3)
# PBE BeCuPtPb, optimized geometry
# V	16.03	Å³ per atom
# total moment	0.001	Bohr magnetons per cell
# DFT total energy	-4.094	eV per atom
data_BeCuPtPb
_space_group_name_H-M_alt 'F -4 3 m'
_space_group_IT_number 216
_space_group_name_Hall 'F -4 2 3'
_cell_length_a 6.354
_cell_length_b 6.354
_cell_length_c 6.354
_cell_angle_alpha 90.00
_cell_angle_beta 90.00
_cell_angle_gamma 90.00
loop_
_atom_site_label
_atom_site_type_symbol
_atom_site_fract_x
_atom_site_fract_y
_atom_site_fract_z
Be1 Be 0.000 0.000 0.000
Cu1 Cu 0.250 0.250 0.750
Pt1 Pt 0.250 0.250 0.250
Pb1 Pb 0.000 0.000 0.500

=====

(4)
# PBE RbReAu3O4, optimized geometry
# V	21.94	Å³ per atom
# total moment	1.272	Bohr magnetons per cell
# DFT total energy	-4.964	eV per atom
data_RbReAu3O4
_space_group_name_H-M_alt 'P -4 3 m'
_space_group_IT_number 215
_space_group_name_Hall 'P -4 2 3'
_cell_length_a 5.823
_cell_length_b 5.823
_cell_length_c 5.823
_cell_angle_alpha 90.00
_cell_angle_beta 90.00
_cell_angle_gamma 90.00
loop_
_atom_site_label
_atom_site_type_symbol
_atom_site_fract_x
_atom_site_fract_y
_atom_site_fract_z
Rb1 Rb 0.000 0.000 0.000
Re1 Re 0.500 0.500 0.500
Au1 Au 0.000 0.500 0.500
O1 O 0.312 0.312 0.312